Computed, not measured: a relaxed structure of LiTmRhPb at the GGA-PBE level of DFT.

Results
The energy of formation from the pure elements is -2.145 eV/f.u. The space group is F-43m, No. 216.

```
data_LiTmRhPb
_space_group_name_H-M_alt 'P 1'
_space_group_IT_number 1
_space_group_name_Hall 'P 1'
_cell_length_a 4.7635
_cell_length_b 4.7635
_cell_length_c 4.7635
_cell_angle_alpha 60.00
_cell_angle_beta 60.00
_cell_angle_gamma 60.00
loop_
_atom_site_label
_atom_site_type_symbol
_atom_site_fract_x
_atom_site_fract_y
_atom_site_fract_z
_atom_site_occupancy
Li1 Li 0.0000 0.0000 0.0000 1
Tm1 Tm 0.7500 0.7500 0.7500 1
Rh1 Rh 0.5000 0.5000 0.5000 1
Pb1 Pb 0.2500 0.2500 0.2500 1
```



Computed, not measured: a relaxed structure of Ac4Pd at the GGA-PBE level of DFT.

Results
The energy of formation from the pure elements is -1.287 eV/f.u. Its offset from the most stable computed form is 0 meV/atom. The space group is I4/m, No. 87.

```
data_Ac4Pd
_space_group_name_H-M_alt 'P 1'
_space_group_IT_number 1
_space_group_name_Hall 'P 1'
_cell_length_a 7.2492
_cell_length_b 7.2492
_cell_length_c 7.2492
_cell_angle_alpha 94.22
_cell_angle_beta 94.22
_cell_angle_gamma 148.52
loop_
_atom_site_label
_atom_site_type_symbol
_atom_site_fract_x
_atom_site_fract_y
_atom_site_fract_z
_atom_site_occupancy
Ac1 Ac 0.0709 0.7419 0.8128 1
Ac2 Ac 0.2581 0.0709 0.3290 1
Ac3 Ac 0.7419 0.9291 0.6710 1
Ac4 Ac 0.9291 0.2581 0.1872 1
Pd1 Pd 0.5000 0.5000 0.0000 1
```



Computed, not measured: a relaxed structure of K2RbCdBi at the GGA-PBE level of DFT.

Results
The energy of formation from the pure elements is -0.458 eV/f.u. The space group is P4/mmm, No. 123.

```
data_K2RbCdBi
_space_group_name_H-M_alt 'P 1'
_space_group_IT_number 1
_space_group_name_Hall 'P 1'
_cell_length_a 6.9361
_cell_length_b 6.9361
_cell_length_c 6.0242
_cell_angle_alpha 90.00
_cell_angle_beta 90.00
_cell_angle_gamma 90.00
loop_
_atom_site_label
_atom_site_type_symbol
_atom_site_fract_x
_atom_site_fract_y
_atom_site_fract_z
_atom_site_occupancy
K1 K 0.0000 0.5000 0.0000 1
K2 K 0.5000 0.0000 0.0000 1
Rb1 Rb 0.0000 0.0000 0.5000 1
Cd1 Cd 0.5000 0.5000 0.5000 1
Bi1 Bi 0.5000 0.5000 0.0000 1
```



Computed, not measured: a relaxed structure of Rb6Ni3Br14 at the GGA-PBE level of DFT.

Results
The calculation puts the energy relative to the elements, uncorrected at -1.02 eV/atom. The space group is P3, No. 143.

```
data_Rb6Ni3Br14
_space_group_name_H-M_alt 'P 1'
_space_group_IT_number 1
_space_group_name_Hall 'P 1'
_cell_length_a 12.1266
_cell_length_b 12.1266
_cell_length_c 7.1392
_cell_angle_alpha 90.00
_cell_angle_beta 90.00
_cell_angle_gamma 120.00
loop_
_atom_site_label
_atom_site_type_symbol
_atom_site_fract_x
_atom_site_fract_y
_atom_site_fract_z
_atom_site_occupancy
Rb1 Rb 0.0364 0.4590 0.0000 1
Rb2 Rb 0.2941 0.2070 0.5278 1
Rb3 Rb 0.4225 0.9636 0.0000 1
Rb4 Rb 0.5410 0.5775 0.0000 1
Rb5 Rb 0.7930 0.0872 0.5278 1
Rb6 Rb 0.9128 0.7059 0.5278 1
Ni1 Ni 0.0000 0.0000 0.0812 1
Ni2 Ni 0.3333 0.6667 0.5633 1
Ni3 Ni 0.6667 0.3333 0.7554 1
Br1 Br 0.0000 0.0000 0.7493 1
Br2 Br 0.0615 0.2007 0.2195 1
Br3 Br 0.1392 0.9385 0.2195 1
Br4 Br 0.2010 0.7358 0.7022 1
Br5 Br 0.2642 0.4652 0.7022 1
Br6 Br 0.3333 0.6667 0.2310 1
Br7 Br 0.4754 0.2684 0.9534 1
Br8 Br 0.5348 0.7990 0.7022 1
Br9 Br 0.5394 0.1427 0.5584 1
Br10 Br 0.6033 0.4606 0.5584 1
Br11 Br 0.7316 0.2070 0.9534 1
Br12 Br 0.7930 0.5246 0.9534 1
Br13 Br 0.7993 0.8608 0.2195 1
Br14 Br 0.8573 0.3967 0.5584 1
```



Computed, not measured: a relaxed structure of Co2TeOs at the GGA-PBE level of DFT.

Results
The calculation puts the energy relative to the elements, uncorrected at 0.58 eV/atom. The space group is C2/m, No. 12.

```
data_Co2TeOs
_space_group_name_H-M_alt 'P 1'
_space_group_IT_number 1
_space_group_name_Hall 'P 1'
_cell_length_a 4.4971
_cell_length_b 4.4971
_cell_length_c 4.7415
_cell_angle_alpha 99.74
_cell_angle_beta 99.74
_cell_angle_gamma 38.80
loop_
_atom_site_label
_atom_site_type_symbol
_atom_site_fract_x
_atom_site_fract_y
_atom_site_fract_z
_atom_site_occupancy
Co1 Co 0.2411 0.2411 0.2060 1
Co2 Co 0.7589 0.7589 0.7940 1
Te1 Te 0.0000 0.0000 0.5000 1
Os1 Os 0.5000 0.5000 0.0000 1
```



Computed, not measured: a relaxed structure of PmYSb2Rh5 at the GGA-PBE level of DFT.

Results
The calculation puts the energy relative to the elements, uncorrected at -0.54 eV/atom. The space group is P4/mmm, No. 123.

```
data_PmYSb2Rh5
_space_group_name_H-M_alt 'P 1'
_space_group_IT_number 1
_space_group_name_Hall 'P 1'
_cell_length_a 4.4594
_cell_length_b 4.4594
_cell_length_c 8.9941
_cell_angle_alpha 90.00
_cell_angle_beta 90.00
_cell_angle_gamma 90.00
loop_
_atom_site_label
_atom_site_type_symbol
_atom_site_fract_x
_atom_site_fract_y
_atom_site_fract_z
_atom_site_occupancy
Pm1 Pm 0.0000 0.0000 0.0000 1
Y1 Y 0.0000 0.0000 0.5000 1
Sb1 Sb 0.5000 0.5000 0.3431 1
Sb2 Sb 0.5000 0.5000 0.6569 1
Rh1 Rh 0.0000 0.5000 0.2154 1
Rh2 Rh 0.0000 0.5000 0.7846 1
Rh3 Rh 0.5000 0.0000 0.2154 1
Rh4 Rh 0.5000 0.0000 0.7846 1
Rh5 Rh 0.5000 0.5000 0.0000 1
```



Computed, not measured: a relaxed structure of Zr2InCo at the GGA-PBE level of DFT.

Results
The energy of formation from the pure elements is -0.508 eV/f.u. The space group is Immm, No. 71.

```
data_Zr2InCo
_space_group_name_H-M_alt 'P 1'
_space_group_IT_number 1
_space_group_name_Hall 'P 1'
_cell_length_a 5.2569
_cell_length_b 5.2569
_cell_length_c 5.2569
_cell_angle_alpha 138.20
_cell_angle_beta 125.09
_cell_angle_gamma 71.32
loop_
_atom_site_label
_atom_site_type_symbol
_atom_site_fract_x
_atom_site_fract_y
_atom_site_fract_z
_atom_site_occupancy
Zr1 Zr 0.2139 0.2139 0.0000 1
Zr2 Zr 0.7861 0.7861 0.0000 1
In1 In 0.5000 0.0000 0.5000 1
Co1 Co 0.0000 0.5000 0.5000 1
```



Computed, not measured: a relaxed structure of MnPdSeN2 at the GGA-PBE level of DFT.

Results
The calculation puts the energy relative to the elements, uncorrected at 1.79 eV/atom. Its offset from the most stable computed form is 1209 meV/atom. The space group is P4/mmm, No. 123.

```
data_MnPdSeN2
_space_group_name_H-M_alt 'P 1'
_space_group_IT_number 1
_space_group_name_Hall 'P 1'
_cell_length_a 3.7050
_cell_length_b 3.7050
_cell_length_c 6.9600
_cell_angle_alpha 90.00
_cell_angle_beta 90.00
_cell_angle_gamma 90.00
loop_
_atom_site_label
_atom_site_type_symbol
_atom_site_fract_x
_atom_site_fract_y
_atom_site_fract_z
_atom_site_occupancy
Mn1 Mn 0.0000 0.0000 0.0000 1
Pd1 Pd 0.5000 0.5000 0.5000 1
Se1 Se 0.5000 0.5000 0.0000 1
N1 N 0.0000 0.5000 0.5000 1
N2 N 0.5000 0.0000 0.5000 1
```



no.,calculated density (g cm⁻³),calculated total energy (eV per atom)
1,10.6,-4.8975
2,8.8,-4.5827
3,2.8,-1.6834
4,3.3,-3.0481
5,12.2,-6.5631
6,9.2,-6.7835
7,7.6,-6.8621
8,4.7,-5.1084